# ZrScFeN2 GGA-PBE optimized geometry
data_ZrScFeN2
_chemical_formula_sum 'Zr1 Sc1 Fe1 N2'
_cell_length_a 3.9136
_cell_length_b 3.9136
_cell_length_c 4.5790
_cell_angle_alpha 90.00
_cell_angle_beta 90.00
_cell_angle_gamma 90.00
_symmetry_space_group_name_H-M 'P 1'
_symmetry_Int_Tables_number 1
_symmetry_space_group_name_Hall 'P 1'
loop_
_atom_site_label
_atom_site_type_symbol
_atom_site_fract_x
_atom_site_fract_y
_atom_site_fract_z
Zr1 Zr 0.0000 0.0000 0.0000
Sc1 Sc 0.5000 0.5000 0.0000
Fe1 Fe 0.0000 0.0000 0.5000
N1 N 0.0000 0.5000 0.5000
N2 N 0.5000 0.0000 0.5000
# Calculated volume ... 14.0 Å³ per atom
# Formation energy without anion corrections ... 4.40 eV per formula unit